# KNa3F

A PBEsol-optimized structure of KNa3F (meta-GGA SCAN, Alexandria via LeMat-Bulk).

Cell lengths 6.5482, 6.5482, 6.5482 Å; angles 90.00, 90.00, 90.00 degrees
Positions (direct):
Na1 0.0000 0.5000 0.0000
Na2 0.0000 0.0000 0.5000
Na3 0.5000 0.0000 0.0000
K1 0.0000 0.0000 0.0000
F1 0.5000 0.5000 0.5000

The value obtained for the size of the total moment is 0.00 Bohr magnetons per cell. For the density of states at the Fermi level, the calculation gives 0.718 states/eV per atom. Its uncorrected formation energy is 0.09 eV/atom.